The following is a DFT calculation (PBE with a Hubbard U) of a geometry-optimized Cs2RbCrF5 structure.

a b c (Å): 8.047 8.047 8.047
angles (deg): 150.41 130.77 58.49
Sites, in units of the cell vectors:
Cs1 0.217 0.217 0.000
Cs2 0.783 0.783 0.000
Rb1 0.500 0.000 0.500
Cr1 0.000 0.500 0.500
F1 0.000 0.000 0.000
F2 0.124 0.389 0.735
F3 0.347 0.611 0.735
F4 0.653 0.389 0.265
F5 0.876 0.611 0.265

Calculated values
The calculation puts the density of states at the Fermi level at 0.000 states/eV per atom. The space group is Immm (71). The calculation puts the electronic total energy at -43.22 eV per cell. The calculation puts the magnetization at 4.0 μB/cell.